P:
The following is a DFT calculation (PBE-GGA) of a relaxed Sm3Mg3Zn2 crystal.

CIF file:
```
data_Sm3Mg3Zn2
_space_group_name_H-M_alt 'P -6 2 m'
_space_group_IT_number 189
_space_group_name_Hall 'P -6 -2'
_cell_length_a 7.9361
_cell_length_b 7.9361
_cell_length_c 3.8164
_cell_angle_alpha 90.00
_cell_angle_beta 90.00
_cell_angle_gamma 120.00
loop_
_atom_site_label
_atom_site_fract_x
_atom_site_fract_y
_atom_site_fract_z
Sm1 0.0000 0.5880 0.0000
Mg1 0.0000 0.2318 0.5000
Zn1 0.3333 0.6667 0.5000
```


Q:
The following is a DFT calculation (PBE-GGA) of a relaxed Sm3Mg3Zn2 crystal.

CIF file:
```
data_Sm3Mg3Zn2
_space_group_name_H-M_alt 'R 3 m'
_space_group_IT_number 160
_space_group_name_Hall 'R 3 -2"'
_cell_length_a 5.1486
_cell_length_b 5.1486
_cell_length_c 25.8516
_cell_angle_alpha 90.00
_cell_angle_beta 90.00
_cell_angle_gamma 120.00
loop_
_atom_site_label
_atom_site_fract_x
_atom_site_fract_y
_atom_site_fract_z
Sm1 0.0000 0.0000 0.0000
Sm2 0.0000 0.0000 0.2439
Sm3 0.0000 0.0000 0.7528
Mg1 0.0000 0.0000 0.1249
Mg2 0.0000 0.0000 0.4982
Mg3 0.0000 0.0000 0.6214
Zn1 0.0000 0.0000 0.3754
Zn2 0.0000 0.0000 0.8744
```


Q is favored, and the nearest alternative lies 6 meV per atom above it.


P:
The following is a DFT calculation (PBE-GGA) of a relaxed SmMg2Zn2 crystal.

CIF file:
```
data_SmMg2Zn2
_space_group_name_H-M_alt 'R -3 m'
_space_group_IT_number 166
_space_group_name_Hall '-R 3 2"'
_cell_length_a 4.7161
_cell_length_b 4.7161
_cell_length_c 16.9660
_cell_angle_alpha 90.00
_cell_angle_beta 90.00
_cell_angle_gamma 120.00
loop_
_atom_site_label
_atom_site_fract_x
_atom_site_fract_y
_atom_site_fract_z
Sm1 0.0000 0.0000 0.0000
Mg1 0.0000 0.0000 0.2084
Zn1 0.0000 0.0000 0.4213
```


Q:
The following is a DFT calculation (PBE-GGA) of a relaxed SmMg2Zn2 crystal.

CIF file:
```
data_SmMg2Zn2
_space_group_name_H-M_alt 'I 4/m m m'
_space_group_IT_number 139
_space_group_name_Hall '-I 4 2'
_cell_length_a 4.316
_cell_length_b 4.316
_cell_length_c 23.685
_cell_angle_alpha 90.00
_cell_angle_beta 90.00
_cell_angle_gamma 90.00
loop_
_atom_site_label
_atom_site_fract_x
_atom_site_fract_y
_atom_site_fract_z
Sm1 0.000 0.000 0.124
Mg1 0.000 0.000 0.317
Mg2 0.000 0.500 0.000
Zn1 0.000 0.000 0.426
Zn2 0.000 0.500 0.250
```


P is favored, and the nearest alternative lies 63 meV per atom above it.